No. 1
The following is a DFT calculation (PBE) of a geometry-optimized LiTl2Ga2 structure.

Summary:
The energy above the most stable polymorph in this dataset comes out at 0.00 eV/f.u. Its formation energy is 2 meV/atom.

Lattice parameters (Å, degrees): 3.7543 3.7543 8.9739 77.93 77.93 90.00
Sites, in units of the cell vectors:
Tl1 0.3985 0.3985 0.2029
Tl2 0.6015 0.6015 0.7971
Ga1 0.7500 0.2500 0.5000
Ga2 0.2500 0.7500 0.5000
Li1 0.0000 0.0000 0.0000


No. 2
The following is a DFT calculation (PBE) of a geometry-optimized K3Ac3IrO8 structure.

Summary:
Its raw formation energy is -2.128 eV/atom.

Lattice parameters (Å, degrees): 7.3656 7.3657 7.6076 118.95 90.00 120.00
Site moments in Bohr magnetons follow the coordinates.
Sites, in units of the cell vectors:
K1 0.0000 0.0000 0.0000  0.00
K2 0.0000 0.5000 0.0000  0.00
K3 0.5000 0.5000 0.0000  0.00
Ac1 0.5000 0.0000 0.5000  0.01
Ac2 0.5000 0.5000 0.5000  0.01
Ac3 0.0000 0.5000 0.5000  0.01
Ir1 0.0000 0.0000 0.5000  0.63
O1 0.2665 0.5330 0.2994  0.00
O2 0.7335 0.4670 0.7006  0.00
O3 0.7984 0.5968 0.3248  0.06
O4 0.2016 0.4032 0.6752  0.06
O5 0.7984 0.0265 0.3249  0.06
O6 0.2016 0.9735 0.6751  0.06
O7 0.2281 0.0265 0.3249  0.06
O8 0.7719 0.9735 0.6751  0.06


No. 3
The following is a DFT calculation (PBE) of a geometry-optimized Ac2TbInO6 structure.

Summary:
Its raw formation energy is -2.959 eV/atom.

Lattice parameters (Å, degrees): 5.9801 6.1542 8.5882 90.00 90.41 90.00
Sites, in units of the cell vectors:
Ac1 0.0142 0.9511 0.2492
Ac2 0.5142 0.5489 0.7492
Ac3 0.9858 0.0489 0.7508
Ac4 0.4858 0.4511 0.2508
Tb1 0.5000 0.0000 0.0000
Tb2 0.0000 0.5000 0.5000
In1 0.5000 0.0000 0.5000
In2 0.0000 0.5000 0.0000
O1 0.2951 0.6994 0.0596
O2 0.7951 0.8006 0.5596
O3 0.7049 0.3006 0.9404
O4 0.2049 0.1994 0.4404
O5 0.3040 0.7043 0.4409
O6 0.8040 0.7957 0.9409
O7 0.6960 0.2957 0.5591
O8 0.1960 0.2043 0.0591
O9 0.8894 0.5449 0.2464
O10 0.3894 0.9551 0.7464
O11 0.1106 0.4551 0.7536
O12 0.6106 0.0449 0.2536


No. 4
The following is a DFT calculation (PBE) of a geometry-optimized Ti2TcNi2 structure.

Summary:
The energy above the most stable polymorph in this dataset comes out at 0.00 eV/f.u. Its formation energy is -324 meV/atom.

Lattice parameters (Å, degrees): 3.0843 3.1440 7.4526 77.82 90.00 90.00
Sites, in units of the cell vectors:
Ti1 0.5000 0.3945 0.2110
Ti2 0.5000 0.6055 0.7890
Tc1 0.0000 0.0000 0.0000
Ni1 0.0000 0.1900 0.6201
Ni2 0.0000 0.8100 0.3799


No. 5
The following is a DFT calculation (PBE) of a geometry-optimized TmAlCo2H6 structure.

Lattice parameters (Å, degrees): 4.1572 4.1572 5.6480 68.41 68.41 60.00
Sites, in units of the cell vectors:
Tm1 0.0000 0.0000 0.0000
Al1 0.5000 0.5000 0.5000
Co1 0.7895 0.7895 0.6316
Co2 0.2105 0.2105 0.3684
H1 0.0646 0.5612 0.8128
H2 0.5613 0.0646 0.8128
H3 0.4388 0.4387 0.1872
H4 0.9354 0.4388 0.1872
H5 0.4387 0.9354 0.1872
H6 0.5612 0.5613 0.8128


No. 6
The following is a DFT calculation (PBE) of a geometry-optimized Pr8Ho3Er2 structure.

Summary:
Its formation energy is 198 meV/atom.

Lattice parameters (Å, degrees): 5.7738 7.7649 10.9343 110.80 90.02 90.00
Sites, in units of the cell vectors:
Pr1 0.0007 0.6744 0.3487
Pr2 0.9993 0.3256 0.6513
Pr3 0.9998 0.1306 0.2613
Pr4 0.0002 0.8694 0.7387
Pr5 0.4997 0.5984 0.7882
Pr6 0.4997 0.1898 0.7882
Pr7 0.5003 0.8102 0.2118
Pr8 0.5003 0.4016 0.2118
Ho1 0.5000 0.0000 0.0000
Ho2 0.0000 0.2856 0.0000
Ho3 0.0000 0.7144 0.0000
Er1 0.4992 0.2394 0.4788
Er2 0.5008 0.7606 0.5212


no.,uncorrected energy (eV per atom)
1,-2.54
2,-6.40
3,-7.49
4,-7.87
5,-4.59
6,-4.50